(1)
This record from Alexandria describes a relaxed structure of Dy2ErTmTh. The functional is PBE.

As for the total magnetization: 0.0 μB/f.u. The mass density comes out at 8.95 g cm⁻³. For the uncorrected energy, the calculation gives -4.80 eV/atom. The energy of formation is 335 meV/atom.

a b c (Å): 8.4103 6.3080 6.2800
angles (deg): 90.00 95.79 90.00
Space group P2/c (No. 13)
Unique sites:
Dy 0.1889 0.2041 0.2801 [4 per cell]
Er 0.0000 0.3139 0.7500 [2 per cell]
Tm 0.5000 0.5000 0.0000 [2 per cell]
Th 0.5000 0.0545 0.7500 [2 per cell]

---

(2)
This record from Alexandria describes a relaxed structure of Dy6YEr2Th3. The functional is PBE.

As for the total magnetization: 0.0 μB/f.u. The mass density comes out at 9.16 g cm⁻³. For the uncorrected energy, the calculation gives -5.43 eV/atom. The energy of formation is 25 meV/atom.

a b c (Å): 6.1652 10.6705 11.7186
angles (deg): 90.00 100.09 90.00
Space group C2/m (No. 12)
Unique sites:
Dy 0.2485 0.1670 0.2468 [8 per cell]
Dy 0.2504 0.0000 0.7532 [4 per cell]
Y 0.0000 0.5000 0.5000 [2 per cell]
Er 0.0000 0.1666 0.5000 [4 per cell]
Th 0.0000 0.0000 0.0000 [2 per cell]
Th 0.0000 0.3334 0.0000 [4 per cell]

---

(3)
This record from Alexandria describes a relaxed structure of Dy6Y3Er2Th. The functional is PBE.

As for the total magnetization: 0.0 μB/f.u. The mass density comes out at 7.91 g cm⁻³. For the uncorrected energy, the calculation gives -5.27 eV/atom. The energy of formation is 25 meV/atom.

a b c (Å): 6.1473 10.6391 11.7808
angles (deg): 90.00 100.00 90.00
Space group C2/m (No. 12)
Unique sites:
Dy 0.2469 0.0000 0.2520 [4 per cell]
Dy 0.2485 0.1652 0.7480 [8 per cell]
Y 0.0000 0.1673 0.0000 [4 per cell]
Y 0.0000 0.5000 0.0000 [2 per cell]
Er 0.0000 0.3333 0.5000 [4 per cell]
Th 0.0000 0.0000 0.5000 [2 per cell]